PmPrNdHo2, optimized geometry, DFT GGA-PBE; DFT formation energy = 0.3547 eV per atom; M_tot = 0.0 μB per formula unit
1.0
4.242 -5.843 0.000
4.242 5.843 0.000
0.000 0.000 7.192
Pm Pr Nd Ho
2 2 2 4
Cartesian
4.242 3.214 5.394
4.242 -3.214 1.798
4.242 3.164 1.798
4.242 -3.164 5.394
4.242 0.021 5.394
4.242 -0.021 1.798
1.583 0.000 0.000
1.583 0.000 3.596
6.901 0.000 0.000
6.901 0.000 3.596


Pm2Pr2NdHo, optimized geometry, DFT GGA-PBE; DFT formation energy = 0.0561 eV per atom; M_tot = 0.0 μB per formula unit
1.0
7.113 0.000 0.000
0.000 5.786 0.000
0.000 0.000 10.021
Pm Pr Nd Ho
4 4 2 2
Cartesian
1.778 0.000 1.649
1.778 2.893 6.699
5.334 0.000 8.371
5.334 2.893 3.321
0.000 2.893 0.000
1.778 0.000 8.303
3.556 2.893 0.000
5.334 0.000 1.718
0.000 0.000 5.010
3.556 0.000 5.010
1.778 2.893 3.372
5.334 2.893 6.649


Pm2PrNdHo4, optimized geometry, DFT GGA-PBE; DFT formation energy = 0.4065 eV per atom; M_tot = 1.6 μB per formula unit
1.0
-3.417 5.952 6.644
3.417 -5.952 6.644
3.417 5.952 -6.644
Pm Pr Nd Ho
4 2 2 8
Cartesian
0.000 0.000 0.000
-1.709 2.976 3.322
0.000 5.952 0.000
1.709 2.976 3.322
3.417 0.000 0.000
0.000 0.000 6.644
1.709 2.976 -3.322
1.709 -2.976 3.322
0.000 0.010 3.318
1.705 2.976 0.011
3.417 0.010 3.326
1.712 -2.976 6.655
1.705 8.929 -0.011
0.000 5.943 3.318
1.712 2.976 6.633
3.417 5.943 3.326